(1)
A relaxed CaAlZn4Au2 crystal. Source: Alexandria via LeMat-Bulk, functional PBE.

Summary:
The crystal system is trigonal. As for the space group: R-3m.

Structure (CIF):
```
data_CaAlZn4Au2
_cell_length_a 4.3996
_cell_length_b 4.3996
_cell_length_c 9.3637
_cell_angle_alpha 76.41
_cell_angle_beta 76.41
_cell_angle_gamma 60.00
_space_group_name_H-M_alt 'P 1'
_space_group_IT_number 1
_space_group_name_Hall 'P 1'
loop_
_atom_site_label
_atom_site_type_symbol
_atom_site_fract_x
_atom_site_fract_y
_atom_site_fract_z
Ca1 Ca 0.0000 0.0000 0.0000
Zn1 Zn 0.8737 0.8737 0.3789
Zn2 Zn 0.4002 0.4002 0.7994
Au1 Au 0.2489 0.2489 0.2532
Zn3 Zn 0.1263 0.1263 0.6211
Au2 Au 0.7511 0.7511 0.7468
Zn4 Zn 0.5998 0.5998 0.2006
Al1 Al 0.5000 0.5000 0.5000
```



(2)
A relaxed Ca2Al3ZnAu4 crystal. Source: Alexandria via LeMat-Bulk, functional PBE.

Summary:
The crystal system is tetragonal. As for the space group: P-4m2.

Structure (CIF):
```
data_Ca2Al3ZnAu4
_cell_length_a 4.3852
_cell_length_b 4.3852
_cell_length_c 10.7458
_cell_angle_alpha 90.00
_cell_angle_beta 90.00
_cell_angle_gamma 90.00
_space_group_name_H-M_alt 'P 1'
_space_group_IT_number 1
_space_group_name_Hall 'P 1'
loop_
_atom_site_label
_atom_site_type_symbol
_atom_site_fract_x
_atom_site_fract_y
_atom_site_fract_z
Zn1 Zn 0.5000 0.5000 0.5000
Au1 Au 0.5000 0.0000 0.6379
Ca1 Ca 0.0000 0.5000 0.7494
Al1 Al 0.0000 0.0000 0.5000
Al2 Al 0.5000 0.0000 0.8714
Ca2 Ca 0.5000 0.0000 0.2506
Au2 Au 0.0000 0.5000 0.3621
Au3 Au 0.5000 0.5000 0.0000
Au4 Au 0.0000 0.0000 0.0000
Al3 Al 0.0000 0.5000 0.1286
```



(3)
A relaxed Ca3Al2ZnAu6 crystal. Source: Alexandria via LeMat-Bulk, functional PBE.

Summary:
The crystal system is trigonal. As for the space group: P-3m1.

Structure (CIF):
```
data_Ca3Al2ZnAu6
_cell_length_a 5.9341
_cell_length_b 5.9341
_cell_length_c 8.8973
_cell_angle_alpha 90.00
_cell_angle_beta 90.00
_cell_angle_gamma 120.00
_space_group_name_H-M_alt 'P 1'
_space_group_IT_number 1
_space_group_name_Hall 'P 1'
loop_
_atom_site_label
_atom_site_type_symbol
_atom_site_fract_x
_atom_site_fract_y
_atom_site_fract_z
Al1 Al 0.6667 0.3333 0.9533
Ca1 Ca 0.6667 0.3333 0.3905
Au1 Au 0.3401 0.1700 0.7216
Ca2 Ca 0.3333 0.6667 0.6095
Zn1 Zn 0.0000 0.0000 0.5000
Al2 Al 0.3333 0.6667 0.0467
Au2 Au 0.8300 0.1700 0.7216
Au3 Au 0.6599 0.8300 0.2784
Au4 Au 0.8300 0.6599 0.7216
Ca3 Ca 0.0000 0.0000 0.0000
Au5 Au 0.1700 0.8300 0.2784
Au6 Au 0.1700 0.3401 0.2784
```



(4)
A relaxed Ca2AlZn3Au4 crystal. Source: Alexandria via LeMat-Bulk, functional PBE.

Summary:
The crystal system is tetragonal. As for the space group: P-4m2.

Structure (CIF):
```
data_Ca2AlZn3Au4
_cell_length_a 4.5311
_cell_length_b 4.5311
_cell_length_c 10.1837
_cell_angle_alpha 90.00
_cell_angle_beta 90.00
_cell_angle_gamma 90.00
_space_group_name_H-M_alt 'P 1'
_space_group_IT_number 1
_space_group_name_Hall 'P 1'
loop_
_atom_site_label
_atom_site_type_symbol
_atom_site_fract_x
_atom_site_fract_y
_atom_site_fract_z
Au1 Au 0.5000 0.0000 0.6250
Au2 Au 0.0000 0.0000 0.0000
Au3 Au 0.0000 0.5000 0.3750
Ca1 Ca 0.0000 0.5000 0.7570
Zn1 Zn 0.0000 0.5000 0.1275
Zn2 Zn 0.5000 0.0000 0.8725
Au4 Au 0.5000 0.5000 0.0000
Ca2 Ca 0.5000 0.0000 0.2430
Al1 Al 0.5000 0.5000 0.5000
Zn3 Zn 0.0000 0.0000 0.5000
```



(5)
A relaxed AlCdAu3 crystal. Source: Alexandria via LeMat-Bulk, functional PBE.

Summary:
The energy above the most stable polymorph in this dataset is 0.000 eV per atom. The crystal system is monoclinic. As for the space group: P2_1/c.

Structure (CIF):
```
data_AlCdAu3
_cell_length_a 6.7445
_cell_length_b 7.4909
_cell_length_c 7.7137
_cell_angle_alpha 100.20
_cell_angle_beta 90.00
_cell_angle_gamma 90.00
_space_group_name_H-M_alt 'P 1'
_space_group_IT_number 1
_space_group_name_Hall 'P 1'
loop_
_atom_site_label
_atom_site_type_symbol
_atom_site_fract_x
_atom_site_fract_y
_atom_site_fract_z
Au1 Au 0.1812 0.5905 0.5351
Au2 Au 0.6812 0.4095 0.9649
Al1 Al 0.2588 0.9364 0.1533
Au3 Au 0.1391 0.1431 0.4355
Al2 Al 0.2412 0.9364 0.6533
Au4 Au 0.3188 0.5905 0.0351
Au5 Au 0.8609 0.8569 0.5645
Au6 Au 0.5220 0.2069 0.6074
Au7 Au 0.4780 0.7931 0.3926
Cd1 Cd 0.4382 0.3733 0.2866
Au8 Au 0.8188 0.4095 0.4649
Cd2 Cd 0.9382 0.6267 0.2134
Al3 Al 0.7412 0.0636 0.8467
Au9 Au 0.3609 0.1431 0.9355
Au10 Au 0.6391 0.8569 0.0645
Al4 Al 0.7588 0.0636 0.3467
Cd3 Cd 0.5618 0.6267 0.7134
Au11 Au 0.9780 0.2069 0.1074
Cd4 Cd 0.0618 0.3733 0.7866
Au12 Au 0.0220 0.7931 0.8926
```



(6)
A relaxed AlCd2Au crystal. Source: Alexandria via LeMat-Bulk, functional PBE.

Summary:
The crystal system is tetragonal. As for the space group: I4/mmm.

Structure (CIF):
```
data_AlCd2Au
_cell_length_a 5.3242
_cell_length_b 5.3242
_cell_length_c 5.3242
_cell_angle_alpha 133.47
_cell_angle_beta 133.47
_cell_angle_gamma 67.92
_space_group_name_H-M_alt 'P 1'
_space_group_IT_number 1
_space_group_name_Hall 'P 1'
loop_
_atom_site_label
_atom_site_type_symbol
_atom_site_fract_x
_atom_site_fract_y
_atom_site_fract_z
Au1 Au 0.7500 0.2500 0.5000
Al1 Al 0.2500 0.7500 0.5000
Cd1 Cd 0.0000 0.0000 0.0000
Cd2 Cd 0.5000 0.5000 0.0000
```



(7)
A relaxed Al2Cd2Au7 crystal. Source: Alexandria via LeMat-Bulk, functional PBE.

Summary:
The crystal system is triclinic. As for the space group: P-1.

Structure (CIF):
```
data_Al2Cd2Au7
_cell_length_a 4.9918
_cell_length_b 10.1526
_cell_length_c 6.9683
_cell_angle_alpha 42.34
_cell_angle_beta 69.27
_cell_angle_gamma 61.57
_space_group_name_H-M_alt 'P 1'
_space_group_IT_number 1
_space_group_name_Hall 'P 1'
loop_
_atom_site_label
_atom_site_type_symbol
_atom_site_fract_x
_atom_site_fract_y
_atom_site_fract_z
Au1 Au 0.1748 0.5765 0.4932
Au2 Au 0.3511 0.4136 0.9956
Cd1 Cd 0.4987 0.8090 0.3848
Al1 Al 0.0453 0.7122 0.0002
Au3 Au 0.0000 0.0000 0.0000
Au4 Au 0.8252 0.4235 0.5068
Au5 Au 0.8261 0.9309 0.4895
Cd2 Cd 0.5013 0.1910 0.6152
Al2 Al 0.9547 0.2878 0.9998
Au6 Au 0.1739 0.0691 0.5105
Au7 Au 0.6489 0.5864 0.0044
```



(8)
A relaxed Al2Cd3Au8 crystal. Source: Alexandria via LeMat-Bulk, functional PBE.

Summary:
The crystal system is orthorhombic. As for the space group: Cmmm.

Structure (CIF):
```
data_Al2Cd3Au8
_cell_length_a 8.2957
_cell_length_b 8.2957
_cell_length_c 4.3025
_cell_angle_alpha 90.00
_cell_angle_beta 90.00
_cell_angle_gamma 118.76
_space_group_name_H-M_alt 'P 1'
_space_group_IT_number 1
_space_group_name_Hall 'P 1'
loop_
_atom_site_label
_atom_site_type_symbol
_atom_site_fract_x
_atom_site_fract_y
_atom_site_fract_z
Au1 Au 0.1377 0.8623 0.0000
Au2 Au 0.8841 0.6018 0.5000
Au3 Au 0.3464 0.6536 0.0000
Au4 Au 0.6536 0.3464 0.0000
Al1 Al 0.2443 0.7557 0.5000
Cd1 Cd 0.2859 0.2859 0.0000
Au5 Au 0.6018 0.8841 0.5000
Al2 Al 0.7557 0.2443 0.5000
Au6 Au 0.1159 0.3982 0.5000
Au7 Au 0.8623 0.1377 0.0000
Cd2 Cd 0.7141 0.7141 0.0000
Cd3 Cd 0.0000 0.0000 0.5000
Au8 Au 0.3982 0.1159 0.5000
```



Record-wise total DFT energy (no corrections) values, in eV per formula unit: -19.12, -35.62, -39.66, -29.81, -15.65, -8.95, -34.55, -39.11
Record-wise DFT formation energy values, in eV per atom: -0.216, -0.601, -0.436, -0.513, -0.231, -0.025, -0.208, -0.205